Record 1
Entry from Alexandria: a relaxed Y2TmMg3 crystal (GGA-PBE).

Results
The calculation puts the total magnetic moment at 0.00 μB per cell. The value obtained for the volume is 27.1 Å³ per atom. The calculation puts the formation energy from the elements at -0.092 eV/atom. The uncorrected energy comes out at -3.789 eV/atom. As for the crystal system: tetragonal.

Cell lengths 3.791, 3.791, 11.323 Å; angles 90.00, 90.00, 90.00 degrees
Space group P4/mmm (No. 123)
One atom of each set of equivalent atoms:
Y1 0.000 0.000 0.168 [2 per cell]
Tm1 0.000 0.000 0.500 [1 per cell]
Mg1 0.500 0.500 0.000 [1 per cell]
Mg2 0.500 0.500 0.337 [2 per cell]



Record 2
Entry from Alexandria: a relaxed Na9Cd4Ag crystal (GGA-PBE).

Results
The calculation puts the total magnetic moment at 0.00 μB per cell. The value obtained for the volume is 29.1 Å³ per atom. The calculation puts the formation energy from the elements at -0.062 eV/atom. The uncorrected energy comes out at -1.376 eV/atom. As for the crystal system: hexagonal.

Cell lengths 9.8010, 9.8010, 9.7789 Å; angles 90.00, 90.00, 120.00 degrees
Space group P6_3/mmc (No. 194)
One atom of each set of equivalent atoms:
Na1 0.0753 0.5377 0.2500 [6 per cell]
Na2 0.1947 0.3894 0.5559 [12 per cell]
Cd1 0.0000 0.0000 0.0000 [2 per cell]
Cd2 0.1116 0.2232 0.2500 [6 per cell]
Ag1 0.3333 0.6667 0.7500 [2 per cell]



Record 3
Entry from Alexandria: a relaxed MgAs4Se crystal (GGA-PBE).

Results
The calculation puts the total magnetic moment at 0.00 μB per cell. The value obtained for the volume is 20.7 Å³ per atom. The energy relative to the elements, uncorrected comes out at 26 kJ per mole of atoms. The uncorrected energy comes out at -3.677 eV/atom. As for the crystal system: cubic.

Cell lengths 7.921, 7.921, 7.921 Å; angles 90.00, 90.00, 90.00 degrees
Space group F-43m (No. 216)
One atom of each set of equivalent atoms:
Mg1 0.000 0.000 0.000 [4 per cell]
As1 0.123 0.123 0.377 [16 per cell]
Se1 0.250 0.250 0.750 [4 per cell]



Record 4
Entry from Alexandria: a relaxed MgScCu2 crystal (GGA-PBE).

Results
The calculation puts the total magnetic moment at 0.00 μB per cell. The value obtained for the volume is 17.3 Å³ per atom. The calculation puts the formation energy from the elements at -0.163 eV/atom. The uncorrected energy comes out at -4.193 eV/atom. As for the crystal system: orthorhombic.

Cell lengths 4.167, 3.299, 10.056 Å; angles 90.00, 90.00, 90.00 degrees
Space group Amm2 (No. 38)
One atom of each set of equivalent atoms:
Mg1 0.000 0.000 0.000 [2 per cell]
Sc1 0.500 0.000 0.701 [2 per cell]
Cu1 0.000 0.000 0.278 [2 per cell]
Cu2 0.500 0.000 0.421 [2 per cell]



Record 5
Entry from Alexandria: a relaxed ThInSi2Rh5 crystal (GGA-PBE).

Results
The calculation puts the total magnetic moment at 0.00 μB per cell. The value obtained for the volume is 19.1 Å³ per atom. The energy relative to the elements, uncorrected comes out at -52 kJ per mole of atoms. The uncorrected energy comes out at -6.953 eV/atom. As for the crystal system: tetragonal.

Cell lengths 4.071, 4.071, 10.376 Å; angles 90.00, 90.00, 90.00 degrees
Space group P4/mmm (No. 123)
One atom of each set of equivalent atoms:
Th1 0.000 0.000 0.000 [1 per cell]
In1 0.000 0.000 0.500 [1 per cell]
Si1 0.500 0.500 0.223 [2 per cell]
Rh1 0.000 0.500 0.327 [4 per cell]
Rh2 0.500 0.500 0.000 [1 per cell]



Record 6
Entry from Alexandria: a relaxed TaZn2Ag crystal (GGA-PBE).

Results
For the energy above the most stable polymorph in this dataset, the calculation gives 0.088 eV per atom. The calculation puts the total magnetic moment at 0.00 μB per cell. The value obtained for the volume is 16.6 Å³ per atom. The calculation puts the formation energy from the elements at 0.074 eV/atom. The uncorrected energy comes out at -4.239 eV/atom. As for the crystal system: trigonal.

Cell lengths 2.8866, 2.8866, 27.6534 Å; angles 90.00, 90.00, 120.00 degrees
Space group R3m (No. 160, hexagonal axes)
One atom of each set of equivalent atoms:
Ta1 0.0000 0.0000 0.0000 [3 per cell]
Zn1 0.0000 0.0000 0.5821 [3 per cell]
Zn2 0.0000 0.0000 0.7507 [3 per cell]
Ag1 0.0000 0.0000 0.1665 [3 per cell]



Record 7
Entry from Alexandria: a relaxed Ca2TcO5 crystal (GGA-PBE).

Results
For the energy above the most stable polymorph in this dataset, the calculation gives 0.000 eV per atom. The calculation puts the total magnetic moment at 3.31 μB per cell. The value obtained for the volume is 14.6 Å³ per atom. The energy relative to the elements, uncorrected comes out at -216 kJ per mole of atoms. The uncorrected energy comes out at -7.132 eV/atom. As for the crystal system: orthorhombic.

Cell lengths 10.789, 3.808, 11.348 Å; angles 90.00, 90.00, 90.00 degrees
Space group Pnma (No. 62)
One atom of each set of equivalent atoms:
Ca1 0.104 0.250 0.068 [4 per cell]
Ca2 0.108 0.250 0.719 [4 per cell]
Tc1 0.165 0.250 0.384 [4 per cell]
O1 0.001 0.750 0.637 [4 per cell]
O2 0.010 0.250 0.888 [4 per cell]
O3 0.168 0.750 0.383 [4 per cell]
O4 0.235 0.250 0.530 [4 per cell]
O5 0.244 0.750 0.747 [4 per cell]



Record 8
Entry from Alexandria: a relaxed AgS5F crystal (GGA-PBE).

Results
The calculation puts the total magnetic moment at 0.94 μB per cell. The value obtained for the volume is 29.1 Å³ per atom. The energy relative to the elements, uncorrected comes out at -16 kJ per mole of atoms. The uncorrected energy comes out at -3.787 eV/atom. As for the crystal system: triclinic.

Cell lengths 4.381, 5.999, 8.124 Å; angles 96.43, 104.15, 96.74 degrees
Space group P1 (No. 1)
One atom of each set of equivalent atoms:
Ag1 0.000 0.000 0.000 [1 per cell]
S1 0.182 0.419 0.053 [1 per cell]
S2 0.229 0.746 0.566 [1 per cell]
S3 0.623 0.995 0.613 [1 per cell]
S4 0.826 0.584 0.990 [1 per cell]
S5 0.860 0.891 0.433 [1 per cell]
F1 0.506 0.003 0.016 [1 per cell]



Q: Which value of volume does entry 5 give?
A: 19.1 Å³ per atom



What did the sixth record say?
Entry from Alexandria: a relaxed TaZn2Ag crystal (GGA-PBE).

Results
For the energy above the most stable polymorph in this dataset, the calculation gives 0.088 eV per atom. The calculation puts the total magnetic moment at 0.00 μB per cell. The value obtained for the volume is 16.6 Å³ per atom. The calculation puts the formation energy from the elements at 0.074 eV/atom. The uncorrected energy comes out at -4.239 eV/atom. As for the crystal system: trigonal.

Cell lengths 2.8866, 2.8866, 27.6534 Å; angles 90.00, 90.00, 120.00 degrees
Space group R3m (No. 160, hexagonal axes)
One atom of each set of equivalent atoms:
Ta1 0.0000 0.0000 0.0000 [3 per cell]
Zn1 0.0000 0.0000 0.5821 [3 per cell]
Zn2 0.0000 0.0000 0.7507 [3 per cell]
Ag1 0.0000 0.0000 0.1665 [3 per cell]